The following is a PBEsol calculation of crystalline ErVO4 at its relaxed geometry, from Alexandria via LeMat-Bulk.

Output
The total DFT energy (no corrections) is -8.97 eV/atom. The volume comes out at 136.2 Å³ per cell. Its crystal system is tetragonal. As for the density of states at the Fermi level: 0.000 states/eV/atom.

a = 6.5307 Å, b = 6.5307 Å, c = 6.5307 Å
α = 135.23°, β = 135.23°, γ = 65.18°
With the nearest neighbours (Å) after each atom.
Fractional positions:
Er 0.3750 0.1250 0.2500  8 O 2.31-2.33
Er 0.6250 0.8750 0.7500  8 O 2.31-2.33
V 0.1250 0.3750 0.7500  4 O 1.73
V 0.8750 0.6250 0.2500  4 O 1.73
O 0.0580 0.7129 0.8574  1 V 1.73
O 0.2129 0.8555 0.6549  1 V 1.73
O 0.2994 0.4420 0.1549  1 V 1.73
O 0.3555 0.2006 0.6426  1 V 1.73
O 0.6445 0.7994 0.3574  1 V 1.73
O 0.7006 0.5580 0.8451  1 V 1.73
O 0.7871 0.1445 0.3451  1 V 1.73
O 0.9420 0.2871 0.1426  1 V 1.73